1.
Density functional theory data (PBE-GGA) for crystalline LaHfZn3 at its relaxed geometry.

```
LaHfZn3
1.0
5.217 0.000 0.000
0.000 5.217 0.000
0.000 0.000 5.217
Zn La Hf
3 1 1
Cartesian
0.000 0.000 2.608 Zn
0.000 2.608 0.000 Zn
2.608 0.000 0.000 Zn
0.000 0.000 0.000 La
2.608 2.608 2.608 Hf
```

Results
Its spin magnetization is 0.0010 μB per atom. As for the formation energy: 1.3184 eV/atom. As for the energy above the most stable polymorph in this dataset: 971 meV per atom.

=====

2.
Density functional theory data (PBE-GGA) for crystalline LaHf3Zn at its relaxed geometry.

```
LaHf3Zn
1.0
-1.044 3.998 -2.943
-4.931 -0.484 1.091
0.580 3.085 3.985
Hf Zn La
3 1 1
Cartesian
0.290 1.542 1.993 Hf
-0.522 1.999 -1.472 Hf
-2.465 -0.242 0.546 Hf
0.000 0.000 0.000 Zn
-2.697 3.300 1.067 La
```

Results
Its spin magnetization is 0.0001 μB per atom. As for the formation energy: 0.5802 eV/atom. As for the energy above the most stable polymorph in this dataset: 0 meV per atom.

=====

3.
Density functional theory data (PBE-GGA) for crystalline LaHfZn17 at its relaxed geometry.

```
LaHfZn17
1.0
-2.995 6.048 0.641
-0.022 0.228 6.776
5.648 3.675 0.749
Zn La Hf
17 1 1
Cartesian
-0.437 5.314 0.700 Zn
-0.869 1.954 4.934 Zn
-0.113 8.088 7.728 Zn
-0.914 4.653 4.858 Zn
3.073 4.350 0.744 Zn
1.630 1.268 4.965 Zn
3.048 3.565 4.907 Zn
4.047 6.946 7.780 Zn
3.932 2.667 2.518 Zn
0.903 3.575 6.301 Zn
-0.617 6.550 3.165 Zn
1.685 6.234 2.095 Zn
-2.077 4.317 2.443 Zn
3.801 5.337 3.221 Zn
2.386 9.028 7.409 Zn
0.280 1.059 0.869 Zn
2.616 9.747 4.827 Zn
1.746 6.608 5.422 La
0.868 3.284 2.695 Hf
```

Results
Its spin magnetization is 0.0000 μB per atom. As for the formation energy: -0.1565 eV/atom.

=====

4.
Density functional theory data (PBE-GGA) for crystalline La2HfZn at its relaxed geometry.

```
La2HfZn
1.0
4.387 0.000 0.000
0.000 4.387 0.000
2.193 2.193 11.141
La Hf Zn
4 2 2
Cartesian
3.266 1.097 2.785 La
1.121 3.290 2.785 La
3.290 3.315 8.356 La
5.484 5.459 8.356 La
4.387 2.193 5.570 Hf
0.000 0.000 0.000 Hf
2.193 2.193 0.000 Zn
2.193 4.387 5.570 Zn
```

Results
Its spin magnetization is 0.0000 μB per atom. As for the formation energy: 0.4678 eV/atom.

=====

5.
Density functional theory data (PBE-GGA) for crystalline LaHfZn3 at its relaxed geometry.

```
LaHfZn3
1.0
-2.756 -4.017 1.435
0.567 -2.038 -4.616
4.227 -2.345 1.554
Zn La Hf
3 1 1
Cartesian
0.283 -1.019 -2.308 Zn
2.114 -1.173 0.777 Zn
-1.378 -2.008 0.718 Zn
1.019 -4.200 -0.814 La
0.000 0.000 0.000 Hf
```

Results
Its spin magnetization is 0.0000 μB per atom. As for the formation energy: 0.3479 eV/atom. As for the energy above the most stable polymorph in this dataset: 0 meV per atom.

=====

6.
Density functional theory data (PBE-GGA) for crystalline LaHf2Zn at its relaxed geometry.

```
LaHf2Zn
1.0
-0.827 3.101 -2.889
-4.219 -0.319 0.865
-1.530 8.664 6.508
La Hf Zn
2 4 2
Cartesian
0.000 0.000 0.000 La
-2.440 6.578 1.303 La
-1.024 2.554 1.337 Hf
-3.526 3.864 0.399 Hf
-5.095 7.385 4.543 Hf
-3.508 9.087 2.688 Hf
-2.523 1.391 -1.012 Zn
-4.136 4.868 3.181 Zn
```

Results
Its spin magnetization is 0.0000 μB per atom. As for the formation energy: 0.3583 eV/atom.